1.
LaGa11Fe after structural relaxation. Source: Alexandria, functional GGA-PBE.

E_form	-0.162	eV per atom
DOS at the Fermi energy	0.46	states/eV per atom
crystal system	monoclinic

Cell: 6.7469 6.7469 7.6312 Å, 96.58 96.58 134.23°
Last column: nearest neighbours and their distance in Å.
Sites, in units of the cell vectors:
La: 0.0000 0.0000 0.0000  16 Ga 3.34-3.49
Ga: 0.0000 0.0000 0.5000  2 Fe 2.62, 8 Ga 2.73-2.74
Ga: 0.0000 0.5000 0.0000  6 Ga 2.62-2.84
Ga: 0.0427 0.3860 0.3705  1 Fe 2.63, 4 Ga 2.72-2.92
Ga: 0.2730 0.4891 0.7639  1 Fe 2.64, 6 Ga 2.69-2.92
Ga: 0.3860 0.0427 0.3705  1 Fe 2.63, 4 Ga 2.72-2.92
Ga: 0.4891 0.2730 0.7639  1 Fe 2.64, 6 Ga 2.69-2.92
Ga: 0.5000 0.0000 0.0000  6 Ga 2.62-2.84
Ga: 0.5109 0.7270 0.2361  1 Fe 2.64, 6 Ga 2.69-2.92
Ga: 0.6140 0.9573 0.6295  1 Fe 2.63, 4 Ga 2.72-2.92
Ga: 0.7270 0.5109 0.2361  1 Fe 2.64, 6 Ga 2.69-2.92
Ga: 0.9573 0.6140 0.6295  1 Fe 2.63, 4 Ga 2.72-2.92
Fe: 0.5000 0.5000 0.5000  10 Ga 2.62-2.64

=====

2.
LaGaFe after structural relaxation. Source: Alexandria, functional GGA-PBE.

E_form	-0.274	eV per atom
DOS at the Fermi energy	0.70	states/eV per atom
crystal system	tetragonal

Cell: 4.3687 4.3687 6.7083 Å, 90.00 90.00 90.00°
Last column: nearest neighbours and their distance in Å.
Sites, in units of the cell vectors:
La: 0.2500 0.2500 0.2070  4 Fe 2.94, 5 Ga 3.14-3.19
La: 0.7500 0.7500 0.7930  4 Fe 2.94, 5 Ga 3.14-3.19
Ga: 0.2500 0.2500 0.6754  4 Fe 2.48
Ga: 0.7500 0.7500 0.3246  4 Fe 2.48
Fe: 0.2500 0.7500 0.5000  4 Ga 2.48
Fe: 0.7500 0.2500 0.5000  4 Ga 2.48

=====

3.
La2GaFe after structural relaxation. Source: Alexandria, functional GGA-PBE.

E_form	0.121	eV per atom
DOS at the Fermi energy	0.87	states/eV per atom
crystal system	tetragonal

Cell: 8.0038 8.0038 6.0527 Å, 90.00 90.00 90.00°
Last column: nearest neighbours and their distance in Å.
Sites, in units of the cell vectors:
La: 0.1859 0.2500 0.1250  2 Fe 2.61
La: 0.2500 0.6859 0.3750  2 Fe 2.61
La: 0.2500 0.8141 0.8750  2 Fe 2.61
La: 0.3141 0.2500 0.6250  2 Fe 2.61
La: 0.6859 0.7500 0.6250  2 Fe 2.61
La: 0.7500 0.1859 0.8750  2 Fe 2.61
La: 0.7500 0.3141 0.3750  2 Fe 2.61
La: 0.8141 0.7500 0.1250  2 Fe 2.61
Ga: 0.0000 0.0000 0.5000  2 Fe 3.03, 8 La 3.30-3.37
Ga: 0.0000 0.5000 0.7500  2 Fe 3.03, 8 La 3.30-3.37
Ga: 0.5000 0.0000 0.2500  2 Fe 3.03, 8 La 3.30-3.37
Ga: 0.5000 0.5000 0.0000  2 Fe 3.03, 8 La 3.30-3.37
Fe: 0.0000 0.0000 0.0000  4 La 2.61
Fe: 0.0000 0.5000 0.2500  4 La 2.61
Fe: 0.5000 0.0000 0.7500  4 La 2.61
Fe: 0.5000 0.5000 0.5000  4 La 2.61